<P>
Here is crystalline Sm2BeGa3 at its relaxed geometry from the Alexandria database. Energies are from PBE.

Unit cell a=5.907 b=5.907 c=8.330 alpha=110.78 beta=110.78 gamma=89.95
Positions (direct):
Sm1 0.250 0.750 0.500
Sm2 0.755 0.755 0.000
Sm3 0.750 0.250 0.500
Sm4 0.245 0.245 0.000
Be1 0.333 0.333 0.667
Be2 0.667 0.667 0.333
Ga1 0.651 0.175 0.826
Ga2 0.825 0.349 0.174
Ga3 0.349 0.825 0.174
Ga4 0.175 0.651 0.826
Ga5 0.826 0.826 0.653
Ga6 0.174 0.174 0.347

V = 251.4 Å³/cell
space group = No. 69

<Q>
Here is crystalline Sm2BeGa3 at its relaxed geometry from the Alexandria database. Energies are from PBE.

Unit cell a=4.143 b=4.186 c=7.240 alpha=90.00 beta=90.00 gamma=90.00
Positions (direct):
Sm1 0.000 0.500 0.004
Sm2 0.000 0.000 0.498
Be1 0.500 0.500 0.329
Ga1 0.500 0.000 0.836
Ga2 0.500 0.000 0.184
Ga3 0.500 0.500 0.649

V = 125.6 Å³/cell
space group = No. 25

Which one sits at the top of the stability order? <P> does.

<P>
Here is crystalline BeGa3Sn at its relaxed geometry from the Alexandria database. Energies are from PBE.

Unit cell a=5.332 b=5.332 c=5.332 alpha=90.00 beta=90.00 gamma=90.00
Positions (direct):
Be1 0.500 0.500 0.500
Sn1 0.000 0.000 0.000
Ga1 0.000 0.500 0.000
Ga2 0.000 0.000 0.500
Ga3 0.500 0.000 0.000

V = 151.6 Å³/cell
space group = No. 221

<Q>
Here is crystalline BeGa3Sn at its relaxed geometry from the Alexandria database. Energies are from PBE.

Unit cell a=4.616 b=4.616 c=4.616 alpha=90.00 beta=90.00 gamma=90.00
Positions (direct):
Be1 0.000 0.000 0.000
Sn1 0.500 0.500 0.500
Ga1 0.000 0.500 0.000
Ga2 0.000 0.000 0.500
Ga3 0.500 0.000 0.000

V = 98.4 Å³/cell
space group = No. 221

Which one sits at the top of the stability order? <Q> does.

<P>
Here is crystalline Be2GaSn at its relaxed geometry from the Alexandria database. Energies are from PBE.

Unit cell a=4.476 b=4.476 c=4.476 alpha=60.00 beta=60.00 gamma=60.00
Positions (direct):
Be1 0.250 0.250 0.250
Be2 0.750 0.750 0.750
Sn1 0.500 0.500 0.500
Ga1 0.000 0.000 0.000

V = 63.4 Å³/cell
space group = No. 225

<Q>
Here is crystalline Be2GaSn at its relaxed geometry from the Alexandria database. Energies are from PBE.

Unit cell a=6.801 b=6.801 c=5.635 alpha=52.88 beta=52.88 gamma=90.00
Positions (direct):
Be1 0.600 0.125 0.250
Be2 0.150 0.625 0.250
Be3 0.375 0.400 0.750
Be4 0.875 0.850 0.750
Sn1 0.000 0.000 0.000
Sn2 0.750 0.250 0.500
Ga1 0.500 0.500 0.000
Ga2 0.250 0.750 0.500

V = 135.9 Å³/cell
space group = No. 122

Which one sits at the top of the stability order? <P> does.

<P>
Here is crystalline Sr2BeGa at its relaxed geometry from the Alexandria database. Energies are from PBE.

Unit cell a=5.424 b=5.424 c=5.424 alpha=60.00 beta=60.00 gamma=60.00
Positions (direct):
Sr1 0.250 0.250 0.250
Sr2 0.750 0.750 0.750
Ga1 0.500 0.500 0.500
Be1 0.000 0.000 0.000

V = 112.9 Å³/cell
space group = No. 225

<Q>
Here is crystalline Sr2BeGa at its relaxed geometry from the Alexandria database. Energies are from PBE.

Unit cell a=8.495 b=8.495 c=7.029 alpha=52.82 beta=52.82 gamma=90.00
Positions (direct):
Sr1 0.609 0.125 0.250
Sr2 0.141 0.625 0.250
Sr3 0.375 0.391 0.750
Sr4 0.875 0.859 0.750
Ga1 0.000 0.000 0.000
Ga2 0.750 0.250 0.500
Be1 0.500 0.500 0.000
Be2 0.250 0.750 0.500

V = 263.4 Å³/cell
space group = No. 122

Which one sits at the top of the stability order? <P> does.

<P>
Here is crystalline Sr2BeGa2 at its relaxed geometry from the Alexandria database. Energies are from PBE.

Unit cell a=7.039 b=7.039 c=5.131 alpha=90.00 beta=90.00 gamma=90.00
Positions (direct):
Sr1 0.178 0.678 0.500
Sr2 0.678 0.822 0.500
Sr3 0.822 0.322 0.500
Sr4 0.322 0.178 0.500
Ga1 0.365 0.865 0.000
Ga2 0.865 0.635 0.000
Ga3 0.635 0.135 0.000
Ga4 0.135 0.365 0.000
Be1 0.000 0.000 0.000
Be2 0.500 0.500 0.000

V = 254.2 Å³/cell
space group = No. 127

<Q>
Here is crystalline Sr2BeGa2 at its relaxed geometry from the Alexandria database. Energies are from PBE.

Unit cell a=3.801 b=3.801 c=9.959 alpha=79.00 beta=79.00 gamma=90.00
Positions (direct):
Sr1 0.404 0.404 0.193
Sr2 0.596 0.596 0.807
Ga1 0.750 0.250 0.500
Ga2 0.250 0.750 0.500
Be1 0.000 0.000 0.000

V = 138.6 Å³/cell
space group = No. 139

Which one sits at the top of the stability order? <P> does.

<P>
Here is crystalline SrBe3Ga at its relaxed geometry from the Alexandria database. Energies are from PBE.

Unit cell a=5.585 b=5.585 c=5.585 alpha=90.00 beta=90.00 gamma=90.00
Positions (direct):
Sr1 0.000 0.000 0.000
Ga1 0.500 0.500 0.500
Be1 0.000 0.500 0.000
Be2 0.000 0.000 0.500
Be3 0.500 0.000 0.000

V = 174.3 Å³/cell
space group = No. 221

<Q>
Here is crystalline SrBe3Ga at its relaxed geometry from the Alexandria database. Energies are from PBE.

Unit cell a=4.432 b=4.432 c=4.432 alpha=90.00 beta=90.00 gamma=90.00
Positions (direct):
Sr1 0.500 0.500 0.500
Ga1 0.000 0.000 0.000
Be1 0.000 0.500 0.000
Be2 0.000 0.000 0.500
Be3 0.500 0.000 0.000

V = 87.0 Å³/cell
space group = No. 221

Which one sits at the top of the stability order? <Q> does.

<P>
Here is crystalline Be2GaTc2 at its relaxed geometry from the Alexandria database. Energies are from PBE.

Unit cell a=5.995 b=5.995 c=3.193 alpha=90.00 beta=90.00 gamma=90.00
Positions (direct):
Be1 0.381 0.881 0.000
Be2 0.881 0.619 0.000
Be3 0.619 0.119 0.000
Be4 0.119 0.381 0.000
Tc1 0.175 0.675 0.500
Tc2 0.675 0.825 0.500
Tc3 0.825 0.325 0.500
Tc4 0.325 0.175 0.500
Ga1 0.000 0.000 0.000
Ga2 0.500 0.500 0.000

V = 114.8 Å³/cell
space group = No. 127

<Q>
Here is crystalline Be2GaTc2 at its relaxed geometry from the Alexandria database. Energies are from PBE.

Unit cell a=6.468 b=6.468 c=3.092 alpha=90.00 beta=90.00 gamma=90.00
Positions (direct):
Be1 0.159 0.659 0.500
Be2 0.659 0.841 0.500
Be3 0.841 0.341 0.500
Be4 0.341 0.159 0.500
Tc1 0.365 0.865 0.000
Tc2 0.865 0.635 0.000
Tc3 0.635 0.135 0.000
Tc4 0.135 0.365 0.000
Ga1 0.000 0.000 0.000
Ga2 0.500 0.500 0.000

V = 129.4 Å³/cell
space group = No. 127

Which one sits at the top of the stability order? <P> does.

<P>
Here is crystalline BeGa3Tc at its relaxed geometry from the Alexandria database. Energies are from PBE.

Unit cell a=4.353 b=4.353 c=4.353 alpha=90.00 beta=90.00 gamma=90.00
Each line ends with the local moment (μB).
Positions (direct):
Be1 0.000 0.000 0.000  0.05
Tc1 0.500 0.500 0.500  2.36
Ga1 0.000 0.500 0.000  -0.04
Ga2 0.000 0.000 0.500  -0.02
Ga3 0.500 0.000 0.000  -0.04

V = 82.5 Å³/cell
space group = No. 221

<Q>
Here is crystalline BeGa3Tc at its relaxed geometry from the Alexandria database. Energies are from PBE.

Unit cell a=4.811 b=4.811 c=4.811 alpha=90.00 beta=90.00 gamma=90.00
Positions (direct):
Be1 0.500 0.500 0.500
Tc1 0.000 0.000 0.000
Ga1 0.000 0.500 0.000
Ga2 0.000 0.000 0.500
Ga3 0.500 0.000 0.000

V = 111.4 Å³/cell
space group = No. 221

Which one sits at the top of the stability order? <Q> does.

<P>
Here is crystalline BeGa3Te at its relaxed geometry from the Alexandria database. Energies are from PBE.

Unit cell a=5.661 b=5.661 c=5.661 alpha=90.00 beta=90.00 gamma=90.00
Positions (direct):
Be1 0.500 0.500 0.500
Te1 0.000 0.000 0.000
Ga1 0.000 0.500 0.000
Ga2 0.000 0.000 0.500
Ga3 0.500 0.000 0.000

V = 181.4 Å³/cell
space group = No. 221

<Q>
Here is crystalline BeGa3Te at its relaxed geometry from the Alexandria database. Energies are from PBE.

Unit cell a=4.670 b=4.670 c=4.670 alpha=90.00 beta=90.00 gamma=90.00
Positions (direct):
Be1 0.000 0.000 0.000
Te1 0.500 0.500 0.500
Ga1 0.000 0.500 0.000
Ga2 0.000 0.000 0.500
Ga3 0.500 0.000 0.000

V = 101.8 Å³/cell
space group = No. 221

Which one sits at the top of the stability order? <Q> does.

<P>
Here is crystalline BeGaTe2 at its relaxed geometry from the Alexandria database. Energies are from PBE.

Unit cell a=6.241 b=6.241 c=7.309 alpha=64.72 beta=64.72 gamma=90.00
Positions (direct):
Be1 0.500 0.500 0.000
Be2 0.250 0.750 0.500
Te1 0.569 0.125 0.250
Te2 0.181 0.625 0.250
Te3 0.375 0.431 0.750
Te4 0.875 0.819 0.750
Ga1 0.000 0.000 0.000
Ga2 0.750 0.250 0.500

V = 226.9 Å³/cell
space group = No. 122

<Q>
Here is crystalline BeGaTe2 at its relaxed geometry from the Alexandria database. Energies are from PBE.

Unit cell a=5.012 b=5.012 c=5.012 alpha=60.00 beta=60.00 gamma=60.00
Positions (direct):
Be1 0.000 0.000 0.000
Te1 0.250 0.250 0.250
Te2 0.750 0.750 0.750
Ga1 0.500 0.500 0.500

V = 89.0 Å³/cell
space group = No. 225

Which one sits at the top of the stability order? <P> does.

<P>
Here is crystalline ThBeGa at its relaxed geometry from the Alexandria database. Energies are from PBE.

Unit cell a=4.215 b=4.066 c=4.066 alpha=120.00 beta=90.00 gamma=90.00
Positions (direct):
Be1 0.167 0.333 0.667
Ga1 0.166 0.000 0.000
Th1 0.667 0.667 0.333

V = 60.3 Å³/cell
space group = No. 187

<Q>
Here is crystalline ThBeGa at its relaxed geometry from the Alexandria database. Energies are from PBE.

Unit cell a=4.055 b=4.218 c=7.102 alpha=90.00 beta=90.00 gamma=90.00
Positions (direct):
Th1 0.000 0.000 0.000
Th2 0.500 0.000 0.500
Be1 0.000 0.500 0.344
Be2 0.000 0.500 0.656
Ga1 0.500 0.500 0.179
Ga2 0.500 0.500 0.821

V = 121.5 Å³/cell
space group = No. 47

Which one sits at the top of the stability order? <P> does.

<P>
Here is crystalline Ti2BeGa at its relaxed geometry from the Alexandria database. Energies are from PBE.

Unit cell a=6.941 b=6.941 c=5.510 alpha=50.96 beta=50.96 gamma=90.00
Positions (direct):
Be1 0.500 0.500 0.000
Be2 0.250 0.750 0.500
Ga1 0.000 0.000 0.000
Ga2 0.750 0.250 0.500
Ti1 0.611 0.125 0.250
Ti2 0.139 0.625 0.250
Ti3 0.375 0.389 0.750
Ti4 0.875 0.861 0.750

V = 120.6 Å³/cell
space group = No. 122

<Q>
Here is crystalline Ti2BeGa at its relaxed geometry from the Alexandria database. Energies are from PBE.

Unit cell a=3.060 b=3.788 c=5.272 alpha=90.00 beta=106.87 gamma=90.00
Positions (direct):
Ti1 0.773 0.500 0.547
Ti2 0.111 0.000 0.222
Be1 0.517 0.500 0.033
Ga1 0.384 0.000 0.767

V = 58.5 Å³/cell
space group = No. 38

Which one sits at the top of the stability order? <Q> does.